# 1
{"formula": "Sc2Al2Ni5Ge", "functional": "PBE", "state": "optimized geometry", "dft_energy_ev_per_atom": -5.78, "delta_e_f_ev_per_atom": -0.42, "vol_a3_per_atom": 14.248, "space_group": "P4/mbm", "dos_ef_per_ev_fu": 8.44, "cell": [[9.619, 0.000, 0.000], [0.000, 9.619, 0.000], [0.000, 0.000, 3.080]], "species": ["Sc", "Sc", "Sc", "Sc", "Al", "Al", "Al", "Al", "Ni", "Ni", "Ni", "Ni", "Ni", "Ni", "Ni", "Ni", "Ni", "Ni", "Ge", "Ge"], "frac_coords": [[0.172, 0.328, 0.000], [0.328, 0.828, 0.000], [0.672, 0.172, 0.000], [0.828, 0.672, 0.000], [0.129, 0.629, 0.000], [0.371, 0.129, 0.000], [0.629, 0.871, 0.000], [0.871, 0.371, 0.000], [0.000, 0.500, 0.500], [0.046, 0.805, 0.500], [0.195, 0.046, 0.500], [0.305, 0.546, 0.500], [0.454, 0.305, 0.500], [0.500, 0.000, 0.500], [0.546, 0.695, 0.500], [0.695, 0.454, 0.500], [0.805, 0.954, 0.500], [0.954, 0.195, 0.500], [0.000, 0.000, 0.000], [0.500, 0.500, 0.000]]}



# 2
{"formula": "Sc2AlNi4Ge3", "functional": "PBE", "state": "optimized geometry", "dft_energy_ev_per_atom": -5.96, "delta_e_f_ev_per_atom": -0.62, "vol_a3_per_atom": 15.082, "space_group": "P-4m2", "dos_ef_per_ev_fu": 6.34, "cell": [[3.855, 0.000, 0.000], [0.000, 3.855, 0.000], [0.000, 0.000, 10.151]], "species": ["Sc", "Sc", "Al", "Ni", "Ni", "Ni", "Ni", "Ge", "Ge", "Ge"], "frac_coords": [[0.000, 0.500, 0.248], [0.500, 0.000, 0.752], [0.000, 0.000, 0.500], [0.000, 0.000, 0.000], [0.000, 0.500, 0.641], [0.500, 0.000, 0.359], [0.500, 0.500, 0.000], [0.000, 0.500, 0.865], [0.500, 0.000, 0.135], [0.500, 0.500, 0.500]]}



# 3
{"formula": "ScAlNi5Ge2", "functional": "PBE", "state": "optimized geometry", "dft_energy_ev_per_atom": -5.55, "delta_e_f_ev_per_atom": -0.19, "vol_a3_per_atom": 14.150, "space_group": "P4/mmm", "dos_ef_per_ev_fu": 2.70, "cell": [[3.934, 0.000, 0.000], [0.000, 3.934, 0.000], [0.000, 0.000, 8.227]], "species": ["Sc", "Al", "Ni", "Ni", "Ni", "Ni", "Ni", "Ge", "Ge"], "frac_coords": [[0.000, 0.000, 0.000], [0.000, 0.000, 0.500], [0.000, 0.500, 0.213], [0.000, 0.500, 0.787], [0.500, 0.000, 0.213], [0.500, 0.000, 0.787], [0.500, 0.500, 0.000], [0.500, 0.500, 0.356], [0.500, 0.500, 0.644]]}



# 4
{"formula": "SmAl2Ni2Ge", "functional": "PBE", "state": "optimized geometry", "dft_energy_ev_per_atom": -5.08, "delta_e_f_ev_per_atom": -0.35, "vol_a3_per_atom": 17.935, "space_group": "P4/mmm", "dos_ef_per_ev_fu": 3.38, "cell": [[4.379, 0.000, 0.000], [0.000, 4.379, 0.000], [0.000, 0.000, 5.612]], "species": ["Sm", "Al", "Al", "Ni", "Ni", "Ge"], "frac_coords": [[0.000, 0.000, 0.000], [0.500, 0.500, 0.245], [0.500, 0.500, 0.755], [0.000, 0.500, 0.500], [0.500, 0.000, 0.500], [0.000, 0.000, 0.500]]}



# 5
{"formula": "SmAlNi5Ge2", "functional": "PBE", "state": "optimized geometry", "dft_energy_ev_per_atom": -5.41, "delta_e_f_ev_per_atom": -0.24, "vol_a3_per_atom": 16.370, "space_group": "P4/mmm", "dos_ef_per_ev_fu": 4.84, "cell": [[3.785, 0.000, 0.000], [0.000, 3.785, 0.000], [0.000, 0.000, 10.281]], "species": ["Sm", "Al", "Ni", "Ni", "Ni", "Ni", "Ni", "Ge", "Ge"], "frac_coords": [[0.000, 0.000, 0.000], [0.000, 0.000, 0.500], [0.000, 0.500, 0.356], [0.000, 0.500, 0.644], [0.500, 0.000, 0.356], [0.500, 0.000, 0.644], [0.500, 0.500, 0.000], [0.500, 0.500, 0.221], [0.500, 0.500, 0.779]]}



# 6
{"formula": "Sr2AlNi4Ge3", "functional": "PBE", "state": "optimized geometry", "dft_energy_ev_per_atom": -4.88, "delta_e_f_ev_per_atom": -0.47, "vol_a3_per_atom": 17.729, "space_group": "P-4m2", "dos_ef_per_ev_fu": 9.07, "cell": [[4.182, 0.000, 0.000], [0.000, 4.182, 0.000], [0.000, 0.000, 10.137]], "species": ["Sr", "Sr", "Al", "Ni", "Ni", "Ni", "Ni", "Ge", "Ge", "Ge"], "frac_coords": [[0.000, 0.500, 0.246], [0.500, 0.000, 0.754], [0.000, 0.000, 0.500], [0.000, 0.000, 0.000], [0.000, 0.500, 0.630], [0.500, 0.000, 0.370], [0.500, 0.500, 0.000], [0.000, 0.500, 0.880], [0.500, 0.000, 0.120], [0.500, 0.500, 0.500]]}



# 7
{"formula": "TaAl2NiGe", "functional": "PBE", "state": "optimized geometry", "dft_energy_ev_per_atom": -5.45, "delta_e_f_ev_per_atom": 0.50, "vol_a3_per_atom": 17.379, "space_group": "P4/mmm", "dos_ef_per_ev_fu": 2.09, "cell": [[4.445, 0.000, 0.000], [0.000, 4.445, 0.000], [0.000, 0.000, 4.399]], "species": ["Ta", "Al", "Al", "Ni", "Ge"], "frac_coords": [[0.000, 0.000, 0.000], [0.000, 0.500, 0.500], [0.500, 0.000, 0.500], [0.500, 0.500, 0.500], [0.500, 0.500, 0.000]]}



# 8
{"formula": "Tb2AlNi3Ge4", "functional": "PBE", "state": "optimized geometry", "dft_energy_ev_per_atom": -5.55, "delta_e_f_ev_per_atom": -0.67, "vol_a3_per_atom": 16.758, "space_group": "P-4m2", "dos_ef_per_ev_fu": 4.23, "cell": [[4.043, 0.000, 0.000], [0.000, 4.043, 0.000], [0.000, 0.000, 10.251]], "species": ["Tb", "Tb", "Al", "Ni", "Ni", "Ni", "Ge", "Ge", "Ge", "Ge"], "frac_coords": [[0.000, 0.500, 0.240], [0.500, 0.000, 0.760], [0.000, 0.000, 0.500], [0.000, 0.500, 0.875], [0.500, 0.000, 0.125], [0.500, 0.500, 0.500], [0.000, 0.000, 0.000], [0.000, 0.500, 0.648], [0.500, 0.000, 0.352], [0.500, 0.500, 0.000]]}



# 9
{"formula": "Tb2AlNi4Ge3", "functional": "PBE", "state": "optimized geometry", "dft_energy_ev_per_atom": -5.71, "delta_e_f_ev_per_atom": -0.71, "vol_a3_per_atom": 16.174, "space_group": "P-4m2", "dos_ef_per_ev_fu": 6.17, "cell": [[4.053, 0.000, 0.000], [0.000, 4.053, 0.000], [0.000, 0.000, 9.844]], "species": ["Tb", "Tb", "Al", "Ni", "Ni", "Ni", "Ni", "Ge", "Ge", "Ge"], "frac_coords": [[0.000, 0.500, 0.247], [0.500, 0.000, 0.753], [0.000, 0.000, 0.500], [0.000, 0.000, 0.000], [0.000, 0.500, 0.634], [0.500, 0.000, 0.366], [0.500, 0.500, 0.000], [0.000, 0.500, 0.871], [0.500, 0.000, 0.129], [0.500, 0.500, 0.500]]}



# 10
{"formula": "Tb2AlNi6Ge", "functional": "PBE", "state": "optimized geometry", "dft_energy_ev_per_atom": -5.64, "delta_e_f_ev_per_atom": -0.41, "vol_a3_per_atom": 16.145, "space_group": "C2/m", "dos_ef_per_ev_fu": 6.38, "cell": [[5.677, -2.466, 0.000], [5.677, 2.466, 0.000], [-5.644, 0.000, 5.765]], "species": ["Tb", "Tb", "Al", "Ni", "Ni", "Ni", "Ni", "Ni", "Ni", "Ge"], "frac_coords": [[0.250, 0.250, 0.208], [0.750, 0.750, 0.792], [0.500, 0.500, 0.000], [0.243, 0.742, 0.741], [0.251, 0.251, 0.583], [0.258, 0.757, 0.259], [0.742, 0.243, 0.741], [0.749, 0.749, 0.417], [0.757, 0.258, 0.259], [0.000, 0.000, 0.500]]}



# 11
{"formula": "ThAl2Ni2Ge", "functional": "PBE", "state": "optimized geometry", "dft_energy_ev_per_atom": -5.49, "delta_e_f_ev_per_atom": -0.31, "vol_a3_per_atom": 18.227, "space_group": "P4/mmm", "dos_ef_per_ev_fu": 2.56, "cell": [[4.388, 0.000, 0.000], [0.000, 4.388, 0.000], [0.000, 0.000, 5.679]], "species": ["Th", "Al", "Al", "Ni", "Ni", "Ge"], "frac_coords": [[0.000, 0.000, 0.000], [0.500, 0.500, 0.243], [0.500, 0.500, 0.757], [0.000, 0.500, 0.500], [0.500, 0.000, 0.500], [0.000, 0.000, 0.500]]}



# 12
{"formula": "Th2AlNi6Ge", "functional": "PBE", "state": "optimized geometry", "dft_energy_ev_per_atom": -6.24, "delta_e_f_ev_per_atom": -0.45, "vol_a3_per_atom": 16.611, "space_group": "P-1", "dos_ef_per_ev_fu": 8.95, "cell": [[5.000, 0.000, 0.000], [2.493, 5.610, 0.000], [2.497, -0.097, 5.922]], "species": ["Th", "Th", "Al", "Ni", "Ni", "Ni", "Ni", "Ni", "Ni", "Ge"], "frac_coords": [[0.040, 0.206, 0.214], [0.960, 0.794, 0.786], [0.500, 0.500, 0.000], [0.001, 0.259, 0.745], [0.335, 0.418, 0.412], [0.496, 0.258, 0.745], [0.504, 0.742, 0.255], [0.665, 0.582, 0.588], [0.999, 0.741, 0.255], [0.500, 0.000, 0.500]]}